# Zr2CdSb PBE optimized geometry
data_Zr2CdSb
_cell_length_a 4.5282
_cell_length_b 4.5282
_cell_length_c 4.2973
_cell_angle_alpha 90.00
_cell_angle_beta 90.00
_cell_angle_gamma 90.00
_space_group_name_H-M_alt 'P 4/m m m'
_space_group_IT_number 123
_space_group_name_Hall '-P 4 2'
loop_
_atom_site_label
_atom_site_type_symbol
_atom_site_fract_x
_atom_site_fract_y
_atom_site_fract_z
Zr1 Zr 0.0000 0.5000 0.0000
Cd1 Cd 0.0000 0.0000 0.5000
Sb1 Sb 0.5000 0.5000 0.5000
# - uncorrected formation energy (eV/atom) = -0.32
# - total energy (eV/atom) = -5.856
# - V (Å³/atom) = 22.03